# MgMnSeN2 PBE-GGA relaxed
# V   15.383 A^3/atom
# Total magnetic moment   0.9 μB per formula unit
# E_form (uncorrected)   8.52 eV/f.u.
# Total DFT energy (no corrections)   -4.477 eV per atom
data_MgMnSeN2
_cell_length_a 3.858
_cell_length_b 3.858
_cell_length_c 5.167
_cell_angle_alpha 90.00
_cell_angle_beta 90.00
_cell_angle_gamma 90.00
_symmetry_space_group_name_H-M 'P 4/m m m'
_symmetry_Int_Tables_number 123
_symmetry_space_group_name_Hall '-P 4 2'
loop_
_atom_site_label
_atom_site_type_symbol
_atom_site_fract_x
_atom_site_fract_y
_atom_site_fract_z
Mg1 Mg 0.000 0.000 0.000
Mn1 Mn 0.500 0.500 0.500
Se1 Se 0.000 0.000 0.500
N1 N 0.000 0.500 0.000


# MgMnSeN2 PBE-GGA relaxed
# V   14.134 A^3/atom
# Total magnetic moment   0.0 μB per formula unit
# E_form (uncorrected)   0.64 eV/f.u.
# Total DFT energy (no corrections)   -6.052 eV per atom
data_MgMnSeN2
_cell_length_a 3.637
_cell_length_b 3.637
_cell_length_c 5.341
_cell_angle_alpha 90.00
_cell_angle_beta 90.00
_cell_angle_gamma 90.00
_symmetry_space_group_name_H-M 'P 4/m m m'
_symmetry_Int_Tables_number 123
_symmetry_space_group_name_Hall '-P 4 2'
loop_
_atom_site_label
_atom_site_type_symbol
_atom_site_fract_x
_atom_site_fract_y
_atom_site_fract_z
Mg1 Mg 0.000 0.000 0.000
Mn1 Mn 0.500 0.500 0.500
Se1 Se 0.500 0.500 0.000
N1 N 0.000 0.500 0.500


# Mg2MnSnN PBE-GGA relaxed
# V   15.909 A^3/atom
# Total magnetic moment   3.8 μB per formula unit
# E_form (uncorrected)   -1.39 eV/f.u.
# Total DFT energy (no corrections)   -5.216 eV per atom
data_Mg2MnSnN
_cell_length_a 4.326
_cell_length_b 4.326
_cell_length_c 4.251
_cell_angle_alpha 90.00
_cell_angle_beta 90.00
_cell_angle_gamma 90.00
_symmetry_space_group_name_H-M 'P 4/m m m'
_symmetry_Int_Tables_number 123
_symmetry_space_group_name_Hall '-P 4 2'
loop_
_atom_site_label
_atom_site_type_symbol
_atom_site_fract_x
_atom_site_fract_y
_atom_site_fract_z
Mg1 Mg 0.000 0.500 0.000
Mn1 Mn 0.000 0.000 0.500
Sn1 Sn 0.500 0.500 0.500
N1 N 0.000 0.000 0.000


# SrMg2MnN4 PBE-GGA relaxed
# V   13.947 A^3/atom
# Total magnetic moment   1.0 μB per formula unit
# E_form (uncorrected)   -4.66 eV/f.u.
# Total DFT energy (no corrections)   -6.500 eV per atom
data_SrMg2MnN4
_cell_length_a 7.282
_cell_length_b 5.639
_cell_length_c 5.434
_cell_angle_alpha 90.00
_cell_angle_beta 90.00
_cell_angle_gamma 90.00
_symmetry_space_group_name_H-M 'P m n 21'
_symmetry_Int_Tables_number 31
_symmetry_space_group_name_Hall 'P 2ac -2'
loop_
_atom_site_label
_atom_site_type_symbol
_atom_site_fract_x
_atom_site_fract_y
_atom_site_fract_z
Sr1 Sr 0.000 0.156 0.000
Mg1 Mg 0.243 0.333 0.514
Mn1 Mn 0.000 0.803 0.523
N1 N 0.000 0.118 0.487
N2 N 0.000 0.740 0.839
N3 N 0.193 0.677 0.388


# Mg3Ta2MnN6 PBE-GGA relaxed
# V   10.150 A^3/atom
# Total magnetic moment   1.1 μB per formula unit
# E_form (uncorrected)   -11.53 eV/f.u.
# Total DFT energy (no corrections)   -8.262 eV per atom
data_Mg3Ta2MnN6
_cell_length_a 13.569
_cell_length_b 3.057
_cell_length_c 6.123
_cell_angle_alpha 90.00
_cell_angle_beta 106.47
_cell_angle_gamma 90.00
_symmetry_space_group_name_H-M 'C 1 2/m 1'
_symmetry_Int_Tables_number 12
_symmetry_space_group_name_Hall '-C 2y'
loop_
_atom_site_label
_atom_site_type_symbol
_atom_site_fract_x
_atom_site_fract_y
_atom_site_fract_z
Mg1 Mg 0.000 0.000 0.000
Mg2 Mg 0.165 0.500 0.325
Ta1 Ta 0.153 0.500 0.808
Mn1 Mn 0.000 0.000 0.500
N1 N 0.002 0.500 0.263
N2 N 0.165 0.000 0.584
N3 N 0.169 0.000 0.064


# Mg3Ta3MnN8 PBE-GGA relaxed
# V   10.927 A^3/atom
# Total magnetic moment   2.6 μB per formula unit
# E_form (uncorrected)   -13.73 eV/f.u.
# Total DFT energy (no corrections)   -8.656 eV per atom
data_Mg3Ta3MnN8
_cell_length_a 6.0822
_cell_length_b 6.0822
_cell_length_c 15.3485
_cell_angle_alpha 90.00
_cell_angle_beta 90.00
_cell_angle_gamma 120.00
_symmetry_space_group_name_H-M 'R -3 m'
_symmetry_Int_Tables_number 166
_symmetry_space_group_name_Hall '-R 3 2"'
loop_
_atom_site_label
_atom_site_type_symbol
_atom_site_fract_x
_atom_site_fract_y
_atom_site_fract_z
Mg1 Mg 0.0000 0.5000 0.0000
Ta1 Ta 0.0000 0.5000 0.5000
Mn1 Mn 0.0000 0.0000 0.5000
N1 N 0.0000 0.0000 0.2471
N2 N 0.0096 0.5048 0.2410


# Mg4Ta3MnN8 PBE-GGA relaxed
# V   10.455 A^3/atom
# Total magnetic moment   3.5 μB per formula unit
# E_form (uncorrected)   -15.43 eV/f.u.
# Total DFT energy (no corrections)   -8.321 eV per atom
data_Mg4Ta3MnN8
_cell_length_a 6.1382
_cell_length_b 6.1382
_cell_length_c 15.3798
_cell_angle_alpha 90.00
_cell_angle_beta 90.00
_cell_angle_gamma 120.00
_symmetry_space_group_name_H-M 'R -3 m'
_symmetry_Int_Tables_number 166
_symmetry_space_group_name_Hall '-R 3 2"'
loop_
_atom_site_label
_atom_site_type_symbol
_atom_site_fract_x
_atom_site_fract_y
_atom_site_fract_z
Mg1 Mg 0.0000 0.0000 0.0000
Mg2 Mg 0.0000 0.5000 0.0000
Ta1 Ta 0.0000 0.5000 0.5000
Mn1 Mn 0.0000 0.0000 0.5000
N1 N 0.0000 0.0000 0.2470
N2 N 0.0036 0.5018 0.7542


# MgMnTcN2 PBE-GGA relaxed
# V   12.724 A^3/atom
# Total magnetic moment   0.0 μB per formula unit
# E_form (uncorrected)   11.15 eV/f.u.
# Total DFT energy (no corrections)   -5.327 eV per atom
data_MgMnTcN2
_cell_length_a 3.791
_cell_length_b 3.791
_cell_length_c 4.426
_cell_angle_alpha 90.00
_cell_angle_beta 90.00
_cell_angle_gamma 90.00
_symmetry_space_group_name_H-M 'P 4/m m m'
_symmetry_Int_Tables_number 123
_symmetry_space_group_name_Hall '-P 4 2'
loop_
_atom_site_label
_atom_site_type_symbol
_atom_site_fract_x
_atom_site_fract_y
_atom_site_fract_z
Mg1 Mg 0.000 0.000 0.000
Mn1 Mn 0.000 0.000 0.500
Tc1 Tc 0.500 0.500 0.500
N1 N 0.000 0.500 0.000


# MgMnTc2N PBE-GGA relaxed
# V   15.285 A^3/atom
# Total magnetic moment   1.4 μB per formula unit
# E_form (uncorrected)   11.31 eV/f.u.
# Total DFT energy (no corrections)   -5.703 eV per atom
data_MgMnTc2N
_cell_length_a 4.649
_cell_length_b 4.649
_cell_length_c 3.536
_cell_angle_alpha 90.00
_cell_angle_beta 90.00
_cell_angle_gamma 90.00
_symmetry_space_group_name_H-M 'P 4/m m m'
_symmetry_Int_Tables_number 123
_symmetry_space_group_name_Hall '-P 4 2'
loop_
_atom_site_label
_atom_site_type_symbol
_atom_site_fract_x
_atom_site_fract_y
_atom_site_fract_z
Mg1 Mg 0.000 0.000 0.000
Mn1 Mn 0.500 0.500 0.500
Tc1 Tc 0.000 0.500 0.000
N1 N 0.000 0.000 0.500


# MgMnTeN2 PBE-GGA relaxed
# V   15.739 A^3/atom
# Total magnetic moment   0.0 μB per formula unit
# E_form (uncorrected)   2.17 eV/f.u.
# Total DFT energy (no corrections)   -5.676 eV per atom
data_MgMnTeN2
_cell_length_a 3.752
_cell_length_b 3.752
_cell_length_c 5.591
_cell_angle_alpha 90.00
_cell_angle_beta 90.00
_cell_angle_gamma 90.00
_symmetry_space_group_name_H-M 'P 4/m m m'
_symmetry_Int_Tables_number 123
_symmetry_space_group_name_Hall '-P 4 2'
loop_
_atom_site_label
_atom_site_type_symbol
_atom_site_fract_x
_atom_site_fract_y
_atom_site_fract_z
Mg1 Mg 0.000 0.000 0.000
Mn1 Mn 0.500 0.500 0.500
Te1 Te 0.500 0.500 0.000
N1 N 0.000 0.500 0.500


# MgMnTeN2 PBE-GGA relaxed
# V   18.450 A^3/atom
# Total magnetic moment   4.6 μB per formula unit
# E_form (uncorrected)   6.62 eV/f.u.
# Total DFT energy (no corrections)   -4.787 eV per atom
data_MgMnTeN2
_cell_length_a 3.981
_cell_length_b 3.981
_cell_length_c 5.821
_cell_angle_alpha 90.00
_cell_angle_beta 90.00
_cell_angle_gamma 90.00
_symmetry_space_group_name_H-M 'P 4/m m m'
_symmetry_Int_Tables_number 123
_symmetry_space_group_name_Hall '-P 4 2'
loop_
_atom_site_label
_atom_site_type_symbol
_atom_site_fract_x
_atom_site_fract_y
_atom_site_fract_z
Mg1 Mg 0.000 0.000 0.000
Mn1 Mn 0.500 0.500 0.500
Te1 Te 0.000 0.000 0.500
N1 N 0.000 0.500 0.000


# MgTiMnN2 PBE-GGA relaxed
# V   15.521 A^3/atom
# Total magnetic moment   4.6 μB per formula unit
# E_form (uncorrected)   3.30 eV/f.u.
# Total DFT energy (no corrections)   -6.401 eV per atom
data_MgTiMnN2
_cell_length_a 3.982
_cell_length_b 3.982
_cell_length_c 4.894
_cell_angle_alpha 90.00
_cell_angle_beta 90.00
_cell_angle_gamma 90.00
_symmetry_space_group_name_H-M 'P 4/m m m'
_symmetry_Int_Tables_number 123
_symmetry_space_group_name_Hall '-P 4 2'
loop_
_atom_site_label
_atom_site_type_symbol
_atom_site_fract_x
_atom_site_fract_y
_atom_site_fract_z
Mg1 Mg 0.000 0.000 0.000
Ti1 Ti 0.500 0.500 0.500
Mn1 Mn 0.500 0.500 0.000
N1 N 0.000 0.500 0.500